#P
DFT (GGA+U) results for a geometry-optimized K8MgMn4O16 structure.

Unit cell a=6.411 b=7.801 c=10.451 alpha=87.20 beta=83.13 gamma=86.97
Site moments in Bohr magnetons follow the coordinates.
Atoms (fractional coordinates):
K  0.745  0.685  0.068  0.00
K  0.216  0.488  0.298  0.00
K  0.215  0.808  0.575  0.00
K  0.275  0.986  0.207  0.00
K  0.633  0.966  0.770  0.00
K  0.742  0.168  0.422  0.00
K  0.766  0.490  0.707  0.00
K  0.326  0.359  0.949  0.00
Mg  0.015  0.077  0.873  0.01
Mn  0.804  0.237  0.083  1.87
Mn  0.237  0.260  0.598  1.47
Mn  0.733  0.719  0.414  1.05
Mn  0.234  0.777  0.926  1.98
O  0.781  0.034  0.026  -0.03
O  0.570  0.331  0.137  -0.06
O  0.299  0.162  0.458  -0.05
O  0.541  0.754  0.319  -0.01
O  0.164  0.466  0.573  -0.06
O  0.031  0.155  0.684  -0.03
O  0.982  0.240  0.188  -0.06
O  0.173  0.678  0.071  -0.04
O  0.914  0.325  0.934  -0.04
O  0.020  0.813  0.836  -0.02
O  0.951  0.816  0.356  -0.03
O  0.781  0.509  0.431  -0.02
O  0.446  0.250  0.681  -0.02
O  0.654  0.799  0.558  -0.01
O  0.446  0.677  0.843  -0.03
O  0.284  0.995  0.942  -0.01

Space-group type ... P1

=====

#Q
DFT (GGA+U) results for a geometry-optimized K8MgMn4O16 structure.

Unit cell a=5.736 b=7.926 c=11.322 alpha=90.59 beta=87.93 gamma=88.68
Site moments in Bohr magnetons follow the coordinates.
Atoms (fractional coordinates):
K  0.769  0.767  0.121  0.00
K  0.275  0.514  0.327  0.00
K  0.249  0.845  0.575  0.00
K  0.261  0.026  0.216  0.00
K  0.731  0.981  0.774  0.00
K  0.752  0.163  0.423  0.00
K  0.707  0.496  0.723  0.00
K  0.207  0.201  0.864  0.00
Mg  0.343  0.483  0.044  0.00
Mn  0.803  0.274  0.091  -2.02
Mn  0.240  0.282  0.574  1.03
Mn  0.760  0.723  0.429  1.05
Mn  0.184  0.723  0.900  1.99
O  0.757  0.107  0.181  0.02
O  0.618  0.444  0.137  0.01
O  0.249  0.211  0.433  0.00
O  0.527  0.803  0.363  -0.01
O  0.248  0.490  0.573  -0.03
O  0.001  0.211  0.644  -0.02
O  0.100  0.326  0.099  0.01
O  0.249  0.733  0.053  -0.02
O  0.738  0.226  0.950  0.01
O  0.893  0.715  0.888  -0.04
O  0.995  0.804  0.362  -0.02
O  0.765  0.515  0.420  -0.02
O  0.469  0.201  0.642  -0.01
O  0.749  0.783  0.572  0.00
O  0.317  0.524  0.872  -0.01
O  0.298  0.878  0.816  -0.04

Space-group type ... P1

=====

The relative energies come out as #P 8; #Q 0, with values in meV per atom.